[1]
Here is a relaxed structure of Zr4Zn5 from Alexandria. Energies are from GGA-PBE.

Properties
- formation energy (kJ/mol of atoms) = -20
- theoretical density (g cm⁻³) = 6.9
- crystal system = hexagonal
- relative energy among the computed polymorphs (eV per atom) = 0.000

Cell lengths 8.2288, 8.2288, 5.6762 Å; angles 90.00, 90.00, 120.00 degrees
Closest atoms and distances in Å follow each position.
Sites, in units of the cell vectors:
Zr: 0.0000 0.0000 0.0000  2 Zr 2.84, 6 Zn 2.95
Zr: 0.0000 0.0000 0.5000  2 Zr 2.84, 6 Zn 2.95
Zr: 0.0000 0.3575 0.2500  9 Zn 2.70-3.01
Zr: 0.0000 0.6425 0.7500  9 Zn 2.70-3.01
Zr: 0.3575 0.0000 0.2500  9 Zn 2.70-3.01
Zr: 0.3575 0.3575 0.7500  9 Zn 2.70-3.01
Zr: 0.6425 0.0000 0.7500  9 Zn 2.70-3.01
Zr: 0.6425 0.6425 0.2500  9 Zn 2.70-3.01
Zn: 0.0000 0.3142 0.7500  7 Zr 2.70-2.95
Zn: 0.0000 0.6858 0.2500  7 Zr 2.70-2.95
Zn: 0.3142 0.0000 0.7500  7 Zr 2.70-2.95
Zn: 0.3142 0.3142 0.2500  7 Zr 2.70-2.95
Zn: 0.3333 0.6667 0.0000  8 Zn 2.84-3.16, 6 Zr 3.01
Zn: 0.3333 0.6667 0.5000  8 Zn 2.84-3.16, 6 Zr 3.01
Zn: 0.6667 0.3333 0.0000  8 Zn 2.84-3.16, 6 Zr 3.01
Zn: 0.6667 0.3333 0.5000  8 Zn 2.84-3.16, 6 Zr 3.01
Zn: 0.6858 0.0000 0.2500  7 Zr 2.70-2.95
Zn: 0.6858 0.6858 0.7500  7 Zr 2.70-2.95

[2]
Here is a relaxed structure of Ho3Tm2ScSe6 from Alexandria. Energies are from GGA-PBE.

Properties
- theoretical density (g cm⁻³) = 8.2
- crystal system = monoclinic
- ΔE_f (raw) (kJ per mole of atoms) = -161.7

Cell lengths 8.9766, 8.9766, 8.0607 Å; angles 103.27, 103.27, 25.78 degrees
Closest atoms and distances in Å follow each position.
Sites, in units of the cell vectors:
Ho: 0.0000 0.0000 0.0000  6 Se 2.85-2.89
Ho: 0.3316 0.3316 0.6646  6 Se 2.85-2.88
Ho: 0.6684 0.6684 0.3354  6 Se 2.85-2.88
Tm: 0.3344 0.3344 0.1685  6 Se 2.82-2.83
Tm: 0.6656 0.6656 0.8315  6 Se 2.82-2.83
Sc: 0.0000 0.0000 0.5000  6 Se 2.76-2.79
Se: 0.1625 0.1625 0.5838  1 Sc 2.76, 2 Tm 2.82, 3 Ho 2.85-2.88
Se: 0.1677 0.1677 0.0813  3 Tm 2.83, 3 Ho 2.85-2.86
Se: 0.5004 0.5004 0.2586  2 Sc 2.79, 1 Tm 2.82, 3 Ho 2.86-2.89
Se: 0.4996 0.4996 0.7414  2 Sc 2.79, 1 Tm 2.82, 3 Ho 2.86-2.89
Se: 0.8323 0.8323 0.9187  3 Tm 2.83, 3 Ho 2.85-2.86
Se: 0.8375 0.8375 0.4162  1 Sc 2.76, 2 Tm 2.82, 3 Ho 2.85-2.88

[3]
Here is a relaxed structure of HfAuS2Cl from Alexandria. Energies are from GGA-PBE.

Properties
- theoretical density (g cm⁻³) = 7.1
- crystal system = tetragonal
- relative energy among the computed polymorphs (eV per atom) = 0.963
- ΔE_f (raw) (kJ per mole of atoms) = 45.1

Cell lengths 4.8714, 4.8714, 4.6877 Å; angles 90.00, 90.00, 90.00 degrees
Closest atoms and distances in Å follow each position.
Sites, in units of the cell vectors:
Hf: 0.0000 0.0000 0.0000  8 S 3.38, 4 Cl 3.44
Au: 0.5000 0.5000 0.5000  2 Cl 2.34, 4 S 2.44
S: 0.0000 0.5000 0.5000  2 Au 2.44
S: 0.5000 0.0000 0.5000  2 Au 2.44
Cl: 0.5000 0.5000 0.0000  2 Au 2.34

[4]
Here is a relaxed structure of LaPm3Sn from Alexandria. Energies are from GGA-PBE.

Properties
- formation energy (kJ/mol of atoms) = -18
- theoretical density (g cm⁻³) = 6.7
- crystal system = orthorhombic

Cell lengths 9.2311, 9.2311, 6.0044 Å; angles 90.00, 90.00, 137.95 degrees
Closest atoms and distances in Å follow each position.
Sites, in units of the cell vectors:
La: 0.0728 0.9272 0.7500  2 Sn 3.68, 8 Pm 3.85-3.86, 2 La 3.91
La: 0.9272 0.0728 0.2500  2 Sn 3.68, 8 Pm 3.85-3.86, 2 La 3.91
Pm: 0.0830 0.4298 0.7500  2 Pm 3.23-3.40, 3 Sn 3.26-3.41
Pm: 0.4298 0.0830 0.2500  2 Pm 3.23-3.40, 3 Sn 3.26-3.41
Pm: 0.5000 0.5000 0.0000  2 Pm 3.00, 2 Sn 3.22
Pm: 0.5000 0.5000 0.5000  2 Pm 3.00, 2 Sn 3.22
Pm: 0.5702 0.9170 0.7500  2 Pm 3.23-3.40, 3 Sn 3.26-3.41
Pm: 0.9170 0.5702 0.2500  2 Pm 3.23-3.40, 3 Sn 3.26-3.41
Sn: 0.3346 0.6654 0.2500  8 Pm 3.22-3.41
Sn: 0.6654 0.3346 0.7500  8 Pm 3.22-3.41

[5]
Here is a relaxed structure of DyY2CuTe5 from Alexandria. Energies are from GGA-PBE.

Properties
- theoretical density (g cm⁻³) = 6.7
- crystal system = orthorhombic
- ΔE_f (raw) (kJ per mole of atoms) = -109.1

Cell lengths 9.6556, 9.6556, 12.9168 Å; angles 90.00, 90.00, 154.67 degrees
Closest atoms and distances in Å follow each position.
Sites, in units of the cell vectors:
Dy: 0.1892 0.8108 0.5000  6 Te 2.92-3.12, 2 Cu 3.15
Dy: 0.8108 0.1892 0.0000  6 Te 2.92-3.12, 2 Cu 3.15
Y: 0.1088 0.8912 0.1744  8 Te 3.17-3.35
Y: 0.1240 0.8760 0.7945  7 Te 3.15-3.44
Y: 0.8760 0.1240 0.2945  7 Te 3.15-3.44
Y: 0.8912 0.1088 0.6744  8 Te 3.17-3.35
Cu: 0.4296 0.5704 0.9509  4 Te 2.60-2.67
Cu: 0.5704 0.4296 0.4509  4 Te 2.60-2.67
Te: 0.0394 0.9606 0.5583  2 Cu 2.60
Te: 0.2864 0.7136 0.1659  2 Dy 3.05, 3 Y 3.18-3.35
Te: 0.3150 0.6850 0.8298  1 Cu 2.67
Te: 0.3549 0.6451 0.4894  1 Dy 3.12, 4 Y 3.26-3.31
Te: 0.4991 0.5009 0.2781  1 Cu 2.61
Te: 0.5009 0.4991 0.7781  1 Cu 2.61
Te: 0.6451 0.3549 0.9894  1 Dy 3.12, 4 Y 3.26-3.31
Te: 0.6850 0.3150 0.3298  1 Cu 2.67
Te: 0.7136 0.2864 0.6659  2 Dy 3.05, 3 Y 3.18-3.35
Te: 0.9606 0.0394 0.0583  2 Cu 2.60

[6]
Here is a relaxed structure of LaTl from Alexandria. Energies are from GGA-PBE.

Properties
- formation energy (kJ/mol of atoms) = -8
- theoretical density (g cm⁻³) = 8.6
- crystal system = trigonal

Cell lengths 11.2937, 11.2937, 11.2937 Å; angles 18.97, 18.97, 18.97 degrees
Closest atoms and distances in Å follow each position.
Sites, in units of the cell vectors:
La: 0.1235 0.1235 0.1235  3 Tl 3.54, 9 La 3.59-3.72
La: 0.8765 0.8765 0.8765  3 Tl 3.54, 9 La 3.59-3.72
Tl: 0.3722 0.3722 0.3722  9 Tl 3.36-3.72, 3 La 3.54
Tl: 0.6278 0.6278 0.6278  9 Tl 3.36-3.72, 3 La 3.54

[7]
Here is a relaxed structure of RbAcH2 from Alexandria. Energies are from GGA-PBE.

Properties
- theoretical density (g cm⁻³) = 4.9
- crystal system = tetragonal
- relative energy among the computed polymorphs (eV per atom) = 0.271

Cell lengths 3.5951, 3.5951, 8.2231 Å; angles 90.00, 90.00, 90.00 degrees
Closest atoms and distances in Å follow each position.
Sites, in units of the cell vectors:
Rb: 0.0000 0.0000 0.0000  4 Rb 3.60, 8 H 3.96
Ac: 0.0000 0.0000 0.5000  8 H 2.76
H: 0.5000 0.5000 0.3689  1 H 2.16
H: 0.5000 0.5000 0.6311  1 H 2.16

[8]
Here is a relaxed structure of SrLiSn2 from Alexandria. Energies are from GGA-PBE.

Properties
- formation energy (kJ/mol of atoms) = -49
- theoretical density (g cm⁻³) = 5.0
- crystal system = orthorhombic

Cell lengths 6.5271, 6.5271, 7.3693 Å; angles 90.00, 90.00, 135.27 degrees
Closest atoms and distances in Å follow each position.
Sites, in units of the cell vectors:
Sr: 0.0815 0.9185 0.7500  8 Sn 3.38-3.78, 3 Li 3.45-3.58
Sr: 0.9185 0.0815 0.2500  8 Sn 3.38-3.78, 3 Li 3.45-3.58
Li: 0.2044 0.7956 0.2500  6 Sn 3.04-3.06
Li: 0.7956 0.2044 0.7500  6 Sn 3.04-3.06
Sn: 0.3776 0.6224 0.5538  2 Sn 2.89-3.06, 3 Li 3.04-3.06
Sn: 0.3776 0.6224 0.9462  2 Sn 2.89-3.06, 3 Li 3.04-3.06
Sn: 0.6224 0.3776 0.0538  2 Sn 2.89-3.06, 3 Li 3.04-3.06
Sn: 0.6224 0.3776 0.4462  2 Sn 2.89-3.06, 3 Li 3.04-3.06

Number 1: calculated volume 332.9 Å³/cell, E -4.717 eV per atom. Number 2: calculated volume 274.5 Å³/cell, E -5.836 eV per atom. Number 3: calculated volume 111.2 Å³/cell, E -4.199 eV per atom. Number 4: calculated volume 342.7 Å³/cell, E -4.823 eV per atom. Number 5: calculated volume 515.2 Å³/cell, E -5.279 eV per atom. Number 6: calculated volume 133.0 Å³/cell, E -3.731 eV per atom. Number 7: calculated volume 106.3 Å³/cell, E -2.851 eV per atom. Number 8: calculated volume 221.0 Å³/cell, E -3.407 eV per atom.